Density functional theory data (PBE) for crystalline Be2Al2SiNi5 at its relaxed geometry.

a = 3.0704 Å, b = 8.4340 Å, c = 8.4340 Å
α = 90.00°, β = 90.00°, γ = 90.00°
Last column: nearest neighbours and their distance in Å.
Atoms (fractional coordinates):
Be (0.0000, 0.1240, 0.6240)  6 Ni 2.13-2.17
Be (0.0000, 0.8760, 0.3760)  6 Ni 2.13-2.17
Be (0.0000, 0.6240, 0.8760)  6 Ni 2.13-2.17
Be (0.0000, 0.3760, 0.1240)  6 Ni 2.13-2.17
Al (0.0000, 0.6716, 0.1716)  3 Be 2.44-2.53, 6 Ni 2.56-2.63
Al (0.0000, 0.3284, 0.8284)  3 Be 2.44-2.53, 6 Ni 2.56-2.63
Al (0.0000, 0.1716, 0.3284)  3 Be 2.44-2.53, 6 Ni 2.56-2.63
Al (0.0000, 0.8284, 0.6716)  3 Be 2.44-2.53, 6 Ni 2.56-2.63
Si (0.0000, 0.0000, 0.0000)  8 Ni 2.38
Si (0.0000, 0.5000, 0.5000)  8 Ni 2.38
Ni (0.5000, 0.2005, 0.0772)  2 Be 2.17, 2 Si 2.38
Ni (0.5000, 0.7995, 0.9228)  2 Be 2.17, 2 Si 2.38
Ni (0.5000, 0.0772, 0.7995)  2 Be 2.17, 2 Si 2.38
Ni (0.5000, 0.7005, 0.4228)  2 Be 2.17, 2 Si 2.38
Ni (0.5000, 0.9228, 0.2005)  2 Be 2.17, 2 Si 2.38
Ni (0.5000, 0.2995, 0.5772)  2 Be 2.17, 2 Si 2.38
Ni (0.5000, 0.5772, 0.7005)  2 Be 2.17, 2 Si 2.38
Ni (0.5000, 0.4228, 0.2995)  2 Be 2.17, 2 Si 2.38
Ni (0.5000, 0.5000, 0.0000)  4 Be 2.13
Ni (0.5000, 0.0000, 0.5000)  4 Be 2.13

Output
DOS(E_F) (states/eV/atom): 0.541
Magnetic moment (μB/f.u.): 0.00
ΔE_f (raw) (eV/atom): -0.450


Density functional theory data (PBE) for crystalline CaGdPdPt at its relaxed geometry.

a = 4.9687 Å, b = 4.9687 Å, c = 4.9687 Å
α = 60.00°, β = 60.00°, γ = 60.00°
Last column: nearest neighbours and their distance in Å.
Atoms (fractional coordinates):
Ca (0.7500, 0.7500, 0.7500)  4 Pt 3.04, 4 Pd 3.04
Gd (0.2500, 0.2500, 0.2500)  4 Pd 3.04, 4 Pt 3.04
Pd (0.0000, 0.0000, 0.0000)  4 Gd 3.04, 4 Ca 3.04
Pt (0.5000, 0.5000, 0.5000)  4 Gd 3.04, 4 Ca 3.04

Output
DOS(E_F) (states/eV/atom): 0.706
Magnetic moment (μB/f.u.): 7.22


Density functional theory data (PBE) for crystalline CsPb2S4 at its relaxed geometry.

a = 5.8383 Å, b = 5.8383 Å, c = 8.6205 Å
α = 70.21°, β = 70.21°, γ = 90.00°
Last column: nearest neighbours and their distance in Å.
Atoms (fractional coordinates):
Pb (0.6088, 0.6088, 0.7825)  1 S 2.51
Pb (0.3912, 0.3912, 0.2175)  1 S 2.51
Cs (0.0000, 0.0000, 0.0000)  4 S 2.92
S (0.7744, 0.7744, 0.4513)  1 Pb 2.51
S (0.2256, 0.2256, 0.5487)  1 Pb 2.51
S (0.0000, 0.5000, 0.0000)  2 Cs 2.92
S (0.5000, 0.0000, 0.0000)  2 Cs 2.92

Output
DOS(E_F) (states/eV/atom): 2.500
Magnetic moment (μB/f.u.): 0.00
ΔE_f (raw) (eV/atom): 0.319


Density functional theory data (PBE) for crystalline AcHg6Pd4 at its relaxed geometry.

a = 7.2103 Å, b = 7.2103 Å, c = 7.2103 Å
α = 89.32°, β = 120.39°, γ = 120.39°
Last column: nearest neighbours and their distance in Å.
Atoms (fractional coordinates):
Ac (0.0000, 0.0000, 0.0000)  4 Pd 3.38, 8 Hg 3.48-3.58
Hg (0.0000, 0.8875, 0.5322)  4 Pd 2.73-2.91
Hg (0.0000, 0.5322, 0.8875)  4 Pd 2.73-2.91
Hg (0.6447, 0.1125, 0.1125)  4 Pd 2.73-2.91
Hg (0.5000, 0.0000, 0.5000)  4 Pd 2.74
Hg (0.3553, 0.4678, 0.4678)  4 Pd 2.73-2.91
Hg (0.5000, 0.5000, 0.0000)  4 Pd 2.74
Pd (0.0000, 0.2582, 0.6057)  6 Hg 2.73-2.91, 2 Pd 2.86
Pd (0.6525, 0.3943, 0.3943)  6 Hg 2.73-2.91, 2 Pd 2.86
Pd (0.0000, 0.6057, 0.2582)  6 Hg 2.73-2.91, 2 Pd 2.86
Pd (0.3475, 0.7418, 0.7418)  6 Hg 2.73-2.91, 2 Pd 2.86

Output
DOS(E_F) (states/eV/atom): 0.436
Magnetic moment (μB/f.u.): 0.00


Density functional theory data (PBE) for crystalline Y2HgCl at its relaxed geometry.

a = 5.9019 Å, b = 5.9019 Å, c = 8.5292 Å
α = 69.76°, β = 69.76°, γ = 90.00°
Last column: nearest neighbours and their distance in Å.
Atoms (fractional coordinates):
Y (0.5970, 0.1250, 0.2500)  2 Cl 2.71, 2 Hg 2.89
Y (0.1530, 0.6250, 0.2500)  2 Cl 2.71, 2 Hg 2.89
Y (0.3750, 0.4030, 0.7500)  2 Cl 2.71, 2 Hg 2.89
Y (0.8750, 0.8470, 0.7500)  2 Cl 2.71, 2 Hg 2.89
Hg (0.0000, 0.0000, 0.0000)  4 Y 2.89
Hg (0.7500, 0.2500, 0.5000)  4 Y 2.89
Cl (0.5000, 0.5000, 0.0000)  4 Y 2.71
Cl (0.2500, 0.7500, 0.5000)  4 Y 2.71

Output
DOS(E_F) (states/eV/atom): 1.328
Magnetic moment (μB/f.u.): 0.00
Excess energy over the best structure of this formula in the dataset (eV/atom): 0.418
ΔE_f (raw) (eV/atom): -0.486


Density functional theory data (PBE) for crystalline ErFe4As12 at its relaxed geometry.

a = 7.2155 Å, b = 7.2155 Å, c = 7.2155 Å
α = 109.47°, β = 109.47°, γ = 109.47°
Last column: nearest neighbours and their distance in Å.
Atoms (fractional coordinates):
Er (0.0000, 0.0000, 0.0000)  12 As 3.12
Fe (0.0000, 0.5000, 0.0000)  6 As 2.35
Fe (0.5000, 0.0000, 0.0000)  6 As 2.35
Fe (0.5000, 0.5000, 0.5000)  6 As 2.35
Fe (0.0000, 0.0000, 0.5000)  6 As 2.35
As (0.8452, 0.3407, 0.1859)  2 Fe 2.35, 1 As 2.58
As (0.3407, 0.4955, 0.1548)  2 Fe 2.35, 1 As 2.58
As (0.8141, 0.1548, 0.6593)  2 Fe 2.35, 1 As 2.58
As (0.3407, 0.1859, 0.8452)  2 Fe 2.35, 1 As 2.58
As (0.1859, 0.8452, 0.3407)  2 Fe 2.35, 1 As 2.58
As (0.6593, 0.5045, 0.8452)  2 Fe 2.35, 1 As 2.58
As (0.4955, 0.1548, 0.3407)  2 Fe 2.35, 1 As 2.58
As (0.5045, 0.8452, 0.6593)  2 Fe 2.35, 1 As 2.58
As (0.6593, 0.8141, 0.1548)  2 Fe 2.35, 1 As 2.58
As (0.8452, 0.6593, 0.5045)  2 Fe 2.35, 1 As 2.58
As (0.1548, 0.3407, 0.4955)  2 Fe 2.35, 1 As 2.58
As (0.1548, 0.6593, 0.8141)  2 Fe 2.35, 1 As 2.58

Output
DOS(E_F) (states/eV/atom): 0.867
Magnetic moment (μB/f.u.): 1.10


Number 1: electronic total energy -107.54 eV per cell. Number 2: electronic total energy -30.99 eV per cell. Number 3: electronic total energy -22.55 eV per cell. Number 4: electronic total energy -29.79 eV per cell. Number 5: electronic total energy -34.04 eV per cell. Number 6: electronic total energy -100.13 eV per cell.